Entry from the Alexandria database: a relaxed structure of BaAc2PmHg4 (GGA-PBE).

Its crystal system is trigonal. Its total moment is 0.35 μB/f.u. As for the theoretical density: 9.8 g cm⁻³. The calculation puts the formation energy at -0.461 eV/atom. The space-group type is R-3m (166).

Unit cell a=5.678 b=5.678 c=9.900 alpha=73.34 beta=73.34 gamma=60.00
Each line ends with the local moment (μB).
Element x y z (fractional)
Hg 0.382 0.382 0.855  0.00
Hg 0.129 0.129 0.612  0.00
Hg 0.618 0.618 0.145  0.00
Hg 0.871 0.871 0.388  0.00
Ac 0.249 0.249 0.253  0.02
Ac 0.751 0.751 0.747  0.02
Ba 0.000 0.000 0.000  0.00
Pm 0.500 0.500 0.500  0.10



Entry from the Alexandria database: a relaxed structure of BaAc2PrHg4 (GGA-PBE).

Its crystal system is trigonal. Its total moment is 0.51 μB/f.u. As for the theoretical density: 9.7 g cm⁻³. The calculation puts the formation energy at -0.466 eV/atom. The space-group type is R-3m (166).

Unit cell a=5.698 b=5.698 c=9.916 alpha=73.30 beta=73.30 gamma=60.00
Each line ends with the local moment (μB).
Element x y z (fractional)
Pr 0.500 0.500 0.500  0.14
Ba 0.000 0.000 0.000  0.01
Hg 0.129 0.129 0.614  0.01
Hg 0.619 0.619 0.142  0.00
Hg 0.381 0.381 0.858  0.00
Hg 0.871 0.871 0.386  0.01
Ac 0.751 0.751 0.747  0.04
Ac 0.249 0.249 0.253  0.04



Entry from the Alexandria database: a relaxed structure of BaAcHgRh (GGA-PBE).

Its crystal system is cubic. Its total moment is 0.00 μB/f.u. As for the theoretical density: 9.2 g cm⁻³. The calculation puts the formation energy at -0.302 eV/atom. The space-group type is F-43m (216).

Unit cell a=5.544 b=5.544 c=5.544 alpha=60.00 beta=60.00 gamma=60.00
Element x y z (fractional)
Ac 0.500 0.500 0.500
Ba 0.000 0.000 0.000
Hg 0.750 0.750 0.750
Rh 0.250 0.250 0.250



Entry from the Alexandria database: a relaxed structure of BaAcHgSb (GGA-PBE).

Its crystal system is cubic. Its total moment is 0.00 μB/f.u. As for the theoretical density: 8.1 g cm⁻³. The value obtained for the energy relative to the elements, uncorrected is -0.664 eV per atom. The space-group type is F-43m (216).

Unit cell a=5.836 b=5.836 c=5.836 alpha=60.00 beta=60.00 gamma=60.00
Element x y z (fractional)
Hg 0.500 0.500 0.500
Ba 0.750 0.750 0.750
Sb 0.000 0.000 0.000
Ac 0.250 0.250 0.250



Entry from the Alexandria database: a relaxed structure of BaAc2HgSe5 (GGA-PBE).

Its crystal system is tetragonal. Its total moment is 0.00 μB/f.u. As for the theoretical density: 7.0 g cm⁻³. The value obtained for the energy relative to the elements, uncorrected is -1.571 eV per atom. The space-group type is I4/mcm (140).

Unit cell a=8.586 b=8.586 c=9.744 alpha=116.14 beta=116.14 gamma=90.00
Element x y z (fractional)
Hg 0.750 0.250 0.500
Hg 0.250 0.750 0.500
Se 0.212 0.025 0.737
Se 0.525 0.712 0.737
Se 0.500 0.500 0.000
Se 0.025 0.525 0.737
Se 0.712 0.212 0.737
Se 0.000 0.000 0.000
Se 0.475 0.288 0.263
Se 0.975 0.475 0.263
Se 0.788 0.975 0.263
Se 0.288 0.788 0.263
Ba 0.750 0.750 0.500
Ba 0.250 0.250 0.500
Ac 0.341 0.841 0.000
Ac 0.659 0.159 0.000
Ac 0.841 0.659 0.000
Ac 0.159 0.341 0.000



Entry from the Alexandria database: a relaxed structure of BaAcSiHg (GGA-PBE).

Its crystal system is cubic. Its total moment is 0.00 μB/f.u. As for the theoretical density: 7.6 g cm⁻³. The value obtained for the energy relative to the elements, uncorrected is -0.339 eV per atom. The space-group type is F-43m (216).

Unit cell a=5.684 b=5.684 c=5.684 alpha=60.00 beta=60.00 gamma=60.00
Element x y z (fractional)
Hg 0.750 0.750 0.750
Ac 0.500 0.500 0.500
Si 0.250 0.250 0.250
Ba 0.000 0.000 0.000



Entry from the Alexandria database: a relaxed structure of BaAcSn2Hg5 (GGA-PBE).

Its crystal system is tetragonal. Its total moment is 0.00 μB/f.u. As for the theoretical density: 9.1 g cm⁻³. The calculation puts the formation energy at -0.206 eV/atom. The space-group type is P4/mmm (123).

Unit cell a=5.759 b=5.759 c=8.822 alpha=90.00 beta=90.00 gamma=90.00
Element x y z (fractional)
Hg 0.500 0.000 0.768
Hg 0.500 0.000 0.232
Hg 0.500 0.500 0.500
Hg 0.000 0.500 0.768
Hg 0.000 0.500 0.232
Ba 0.000 0.000 0.500
Sn 0.500 0.500 0.168
Sn 0.500 0.500 0.832
Ac 0.000 0.000 0.000



Entry from the Alexandria database: a relaxed structure of BaAcSn2Hg2 (GGA-PBE).

Its crystal system is trigonal. Its total moment is 0.00 μB/f.u. As for the theoretical density: 8.4 g cm⁻³. The calculation puts the formation energy at -0.579 eV/atom. The space-group type is P-3m1 (164).

Unit cell a=4.965 b=4.965 c=9.338 alpha=90.00 beta=90.00 gamma=120.00
Element x y z (fractional)
Ba 0.000 0.000 0.000
Hg 0.667 0.333 0.301
Hg 0.333 0.667 0.699
Ac 0.000 0.000 0.500
Sn 0.667 0.333 0.751
Sn 0.333 0.667 0.249



Entry from the Alexandria database: a relaxed structure of BaAc2Sn2Hg2 (GGA-PBE).

Its crystal system is trigonal. Its total moment is 0.00 μB/f.u. As for the theoretical density: 8.2 g cm⁻³. The calculation puts the formation energy at -0.400 eV/atom. The space-group type is R-3m (166).

Unit cell a=5.345 b=5.345 c=10.535 alpha=75.31 beta=75.31 gamma=60.00
Element x y z (fractional)
Sn 0.742 0.742 0.775
Sn 0.258 0.258 0.225
Ba 0.000 0.000 0.000
Ac 0.870 0.870 0.390
Ac 0.130 0.130 0.610
Hg 0.574 0.574 0.278
Hg 0.426 0.426 0.722



Entry from the Alexandria database: a relaxed structure of BaAc2TbHg4 (GGA-PBE).

Its crystal system is trigonal. Its total moment is 0.00 μB/f.u. As for the theoretical density: 10.0 g cm⁻³. The calculation puts the formation energy at -0.452 eV/atom. The space-group type is R-3m (166).

Unit cell a=5.645 b=5.645 c=9.897 alpha=73.43 beta=73.43 gamma=60.00
Element x y z (fractional)
Hg 0.384 0.384 0.849
Hg 0.129 0.129 0.612
Hg 0.871 0.871 0.388
Hg 0.616 0.616 0.151
Tb 0.500 0.500 0.500
Ba 0.000 0.000 0.000
Ac 0.248 0.248 0.255
Ac 0.752 0.752 0.745



Entry from the Alexandria database: a relaxed structure of BaAcTl2Hg4 (GGA-PBE).

Its crystal system is trigonal. Its total moment is 0.00 μB/f.u. As for the theoretical density: 10.8 g cm⁻³. The calculation puts the formation energy at -0.396 eV/atom. The space-group type is R-3m (166).

Unit cell a=5.544 b=5.544 c=9.624 alpha=73.26 beta=73.26 gamma=60.00
Element x y z (fractional)
Hg 0.873 0.873 0.380
Hg 0.623 0.623 0.131
Hg 0.127 0.127 0.620
Hg 0.377 0.377 0.869
Tl 0.750 0.750 0.750
Tl 0.250 0.250 0.250
Ac 0.500 0.500 0.500
Ba 0.000 0.000 0.000



Entry from the Alexandria database: a relaxed structure of BaAcTlHg (GGA-PBE).

Its crystal system is tetragonal. Its total moment is 0.07 μB/f.u. As for the theoretical density: 8.8 g cm⁻³. The calculation puts the formation energy at -0.447 eV/atom. The space-group type is P4mm (99).

Unit cell a=4.138 b=4.138 c=8.491 alpha=90.00 beta=90.00 gamma=90.00
Element x y z (fractional)
Ac 0.000 0.000 0.366
Ba 0.000 0.000 0.851
Tl 0.500 0.500 0.126
Hg 0.500 0.500 0.585



Entry from the Alexandria database: a relaxed structure of BaAcTlHg (GGA-PBE).

Its crystal system is cubic. Its total moment is 0.00 μB/f.u. As for the theoretical density: 8.8 g cm⁻³. The calculation puts the formation energy at -0.415 eV/atom. The space-group type is F-43m (216).

Unit cell a=5.897 b=5.897 c=5.897 alpha=60.00 beta=60.00 gamma=60.00
Element x y z (fractional)
Ac 0.250 0.250 0.250
Ba 0.750 0.750 0.750
Hg 0.500 0.500 0.500
Tl 0.000 0.000 0.000



Entry from the Alexandria database: a relaxed structure of BaAc6Ho2 (GGA-PBE).

Its crystal system is trigonal. Its total moment is 0.00 μB/f.u. As for the theoretical density: 6.3 g cm⁻³. The calculation puts the formation energy at 0.470 eV/atom. The space-group type is P-31m (162).

Unit cell a=6.648 b=6.648 c=12.607 alpha=90.00 beta=90.00 gamma=120.00
Element x y z (fractional)
Ac 0.000 0.670 0.720
Ac 0.330 0.000 0.280
Ac 0.670 0.670 0.280
Ac 0.000 0.330 0.280
Ac 0.670 0.000 0.720
Ac 0.330 0.330 0.720
Ho 0.667 0.333 0.500
Ho 0.333 0.667 0.500
Ba 0.000 0.000 0.000



Entry from the Alexandria database: a relaxed structure of BaAcHo2 (GGA-PBE).

Its crystal system is trigonal. Its total moment is 0.05 μB/f.u. As for the theoretical density: 7.3 g cm⁻³. The calculation puts the formation energy at 0.276 eV/atom. The space-group type is R-3m (166).

Unit cell a=3.724 b=3.724 c=13.325 alpha=81.97 beta=81.97 gamma=60.00
Element x y z (fractional)
Ho 0.092 0.092 0.725
Ho 0.908 0.908 0.275
Ac 0.500 0.500 0.500
Ba 0.000 0.000 0.000



Entry from the Alexandria database: a relaxed structure of BaAcHo2 (GGA-PBE).

Its crystal system is tetragonal. Its total moment is 0.00 μB/f.u. As for the theoretical density: 7.2 g cm⁻³. The calculation puts the formation energy at 0.183 eV/atom. The space-group type is P4/mmm (123).

Unit cell a=3.854 b=3.854 c=10.737 alpha=90.00 beta=90.00 gamma=90.00
Element x y z (fractional)
Ac 0.500 0.500 0.000
Ho 0.000 0.000 0.770
Ho 0.000 0.000 0.230
Ba 0.500 0.500 0.500



Entry from the Alexandria database: a relaxed structure of BaAc4Ho (GGA-PBE).

Its crystal system is cubic. Its total moment is 0.00 μB/f.u. As for the theoretical density: 7.1 g cm⁻³. The calculation puts the formation energy at 0.307 eV/atom. The space-group type is F-43m (216).

Unit cell a=7.370 b=7.370 c=7.370 alpha=60.00 beta=60.00 gamma=60.00
Element x y z (fractional)
Ac 0.627 0.627 0.118
Ac 0.118 0.627 0.627
Ac 0.627 0.118 0.627
Ac 0.627 0.627 0.627
Ba 0.250 0.250 0.250
Ho 0.000 0.000 0.000



Entry from the Alexandria database: a relaxed structure of Ba3Ac3HoO8 (GGA-PBE).

Its crystal system is trigonal. Its total moment is 0.00 μB/f.u. As for the theoretical density: 7.3 g cm⁻³. The value obtained for the energy relative to the elements, uncorrected is -2.806 eV per atom. The space-group type is R-3m (166).

Unit cell a=7.537 b=7.537 c=7.720 alpha=119.22 beta=90.00 gamma=120.00
Element x y z (fractional)
Ba 0.500 0.500 0.000
Ba 0.000 0.000 0.000
Ba 0.000 0.500 0.000
Ho 0.000 0.000 0.500
Ac 0.500 0.000 0.500
Ac 0.500 0.500 0.500
Ac 0.000 0.500 0.500
O 0.784 0.568 0.308
O 0.784 0.024 0.308
O 0.216 0.432 0.692
O 0.216 0.976 0.692
O 0.240 0.024 0.308
O 0.760 0.976 0.692
O 0.262 0.523 0.285
O 0.738 0.477 0.715



Entry from the Alexandria database: a relaxed structure of Ba2AcHoO4 (GGA-PBE).

Its crystal system is monoclinic. Its total moment is 0.00 μB/f.u. As for the theoretical density: 8.0 g cm⁻³. The value obtained for the energy relative to the elements, uncorrected is -2.658 eV per atom. The space-group type is P2/m (10).

Unit cell a=3.691 b=6.470 c=6.712 alpha=108.30 beta=90.00 gamma=90.00
Element x y z (fractional)
O 0.500 0.794 0.813
O 0.000 0.760 0.194
O 0.500 0.206 0.187
O 0.000 0.240 0.806
Ba 0.500 0.000 0.500
Ba 0.000 0.500 0.500
Ho 0.000 0.000 0.000
Ac 0.500 0.500 0.000



Entry from the Alexandria database: a relaxed structure of Ba2AcHoS4 (GGA-PBE).

Its crystal system is monoclinic. Its total moment is 0.00 μB/f.u. As for the theoretical density: 5.8 g cm⁻³. The value obtained for the energy relative to the elements, uncorrected is -1.997 eV per atom. The space-group type is P2/m (10).

Unit cell a=4.262 b=7.398 c=7.591 alpha=108.76 beta=90.00 gamma=90.00
Element x y z (fractional)
S 0.500 0.222 0.213
S 0.000 0.241 0.778
S 0.500 0.778 0.787
S 0.000 0.759 0.222
Ba 0.000 0.500 0.500
Ba 0.500 0.000 0.500
Ho 0.000 0.000 0.000
Ac 0.500 0.500 0.000



Entry from the Alexandria database: a relaxed structure of BaAcI (GGA-PBE).

Its crystal system is monoclinic. Its total moment is 0.09 μB/f.u. As for the theoretical density: 5.9 g cm⁻³. The value obtained for the energy relative to the elements, uncorrected is -0.649 eV per atom. The space-group type is C2/m (12).

Unit cell a=5.951 b=4.116 c=11.617 alpha=90.71 beta=104.84 gamma=90.00
Element x y z (fractional)
Ba 0.596 0.756 0.192
Ba 0.404 0.244 0.808
I 0.084 0.253 0.168
I 0.916 0.747 0.832
Ac 0.224 0.747 0.449
Ac 0.776 0.253 0.551



Entry from the Alexandria database: a relaxed structure of BaAcI6 (GGA-PBE).

Its crystal system is triclinic. Its total moment is 1.02 μB/f.u. As for the theoretical density: 4.3 g cm⁻³. The value obtained for the energy relative to the elements, uncorrected is -1.296 eV per atom. The space-group type is P-1 (2).

Unit cell a=8.644 b=8.134 c=9.201 alpha=55.85 beta=59.50 gamma=58.26
Each line ends with the local moment (μB).
Element x y z (fractional)
I 0.600 0.255 0.265  0.02
I 0.310 0.965 0.185  0.28
I 0.073 0.479 0.704  0.03
I 0.400 0.745 0.735  0.02
I 0.690 0.035 0.815  0.28
I 0.927 0.521 0.296  0.03
Ba 0.000 0.000 0.000  0.00
Ac 0.500 0.500 0.500  0.00



Entry from the Alexandria database: a relaxed structure of BaAc2I8 (GGA-PBE).

Its crystal system is monoclinic. Its total moment is 0.00 μB/f.u. As for the theoretical density: 4.8 g cm⁻³. The value obtained for the energy relative to the elements, uncorrected is -1.599 eV per atom. The space-group type is C2/m (12).

Unit cell a=4.753 b=9.301 c=12.886 alpha=85.29 beta=100.63 gamma=90.00
Element x y z (fractional)
I 0.240 0.330 0.480
I 0.362 0.068 0.723
I 0.977 0.262 0.954
I 0.385 0.540 0.771
I 0.638 0.932 0.277
I 0.615 0.460 0.229
I 0.023 0.738 0.046
I 0.760 0.670 0.520
Ac 0.839 0.340 0.678
Ac 0.161 0.660 0.322
Ba 0.500 0.000 0.000



Entry from the Alexandria database: a relaxed structure of BaAcIrI (GGA-PBE).

Its crystal system is trigonal. Its total moment is 0.00 μB/f.u. As for the theoretical density: 7.6 g cm⁻³. The value obtained for the energy relative to the elements, uncorrected is -0.893 eV per atom. The space-group type is R3m (160).

Unit cell a=4.449 b=4.449 c=9.103 alpha=90.00 beta=104.14 gamma=120.00
Element x y z (fractional)
Ir 0.318 0.557 0.890
I 0.962 0.379 0.356
Ba 0.506 0.151 0.672
Ac 0.093 0.944 0.053



Entry from the Alexandria database: a relaxed structure of BaAcIO2 (GGA-PBE).

Its crystal system is tetragonal. Its total moment is 0.00 μB/f.u. As for the theoretical density: 6.2 g cm⁻³. The value obtained for the energy relative to the elements, uncorrected is -2.748 eV per atom. The space-group type is I4mm (107).

Unit cell a=4.387 b=4.387 c=7.964 alpha=105.99 beta=105.99 gamma=90.00
Element x y z (fractional)
O 0.742 0.242 0.484
O 0.242 0.742 0.484
Ba 0.838 0.838 0.676
I 0.505 0.505 0.011
Ac 0.172 0.172 0.345